The following is a PBE calculation of a relaxed Na2BeGe3Pt4 crystal, from Alexandria.

ρ (g/cm3): 9.84
Energy of formation from the pure elements (eV per atom): -0.48
Symmetry: P-4m2, No. 115

Lattice parameters (Å, degrees): 4.0417 4.0417 10.8787 90.00 90.00 90.00
With the nearest neighbours (Å) after each atom.
Positions (direct):
Na: 0.0000 0.5000 0.2421  8 Pt 3.11-3.46, 6 Ge 3.12-3.32, 2 Be 3.32
Na: 0.5000 0.0000 0.7579  8 Pt 3.11-3.46, 6 Ge 3.12-3.32, 2 Be 3.32
Be: 0.5000 0.5000 0.0000  4 Pt 2.46
Ge: 0.0000 0.0000 0.0000  4 Pt 2.46
Ge: 0.0000 0.5000 0.6421  5 Pt 2.50-2.54
Ge: 0.5000 0.0000 0.3579  5 Pt 2.50-2.54
Pt: 0.0000 0.0000 0.5000  4 Ge 2.54
Pt: 0.0000 0.5000 0.8716  2 Be 2.46, 3 Ge 2.46-2.50
Pt: 0.5000 0.0000 0.1284  2 Be 2.46, 3 Ge 2.46-2.50
Pt: 0.5000 0.5000 0.5000  4 Ge 2.54